Here is crystalline PmMo2O8 at its relaxed geometry from Alexandria via LeMat-Bulk. Energies are from PBE with a Hubbard U.

Properties
Density of states at the Fermi level ... 2.82 states/eV/cell
Electronic total energy ... -6.761 eV per atom
Total magnetic moment ... 0.000 μB per formula unit

```
PmMo2O8
1.0
4.8721 0.0000 0.0000
0.0000 4.8721 0.0000
-2.4360 -2.4360 5.7186
Pm Mo O
1 2 8
Direct
0.5000 0.5000 0.0000
0.7500 0.2500 0.5000
0.2500 0.7500 0.5000
0.8800 0.3816 0.2942
0.0874 0.5858 0.7058
0.6184 0.1200 0.7058
0.1200 0.0874 0.7058
0.4142 0.9126 0.2942
0.9126 0.8800 0.2942
0.3816 0.4142 0.2942
0.5858 0.6184 0.7058
```